[1]
YHo2Sc3Bi2Os after structural relaxation, computed with PBE-GGA.

Cell lengths 4.2272, 7.9077, 7.9077 Å; angles 119.88, 90.00, 90.00 degrees
Positions (direct):
Bi (0.5000, 0.6669, 0.3325)
Bi (0.5000, 0.3325, 0.6669)
Ho (0.0000, 0.3862, 0.0000)
Ho (0.0000, 0.0000, 0.3862)
Os (0.0000, 0.0023, 0.0023)
Sc (0.5000, 0.7774, 0.0000)
Sc (0.5000, 0.2239, 0.2239)
Sc (0.5000, 0.0000, 0.7774)
Y (0.0000, 0.6107, 0.6107)

## Properties
- M_tot (μB/cell) = 0.0
- electronic total energy (eV/atom) = -6.61
- SG = No. 38



[2]
ThZn after structural relaxation, computed with PBE-GGA.

Cell lengths 5.8255, 9.7918, 4.4366 Å; angles 90.00, 90.00, 72.69 degrees
Positions (direct):
Th (0.5352, 0.1966, 0.0000)
Th (0.9318, 0.4034, 0.0000)
Th (0.5366, 0.8000, 0.0000)
Th (0.0978, 0.1374, 0.5000)
Th (0.4350, 0.4627, 0.5000)
Zn (0.1258, 0.6557, 0.0000)
Zn (0.9816, 0.9443, 0.0000)
Zn (0.8584, 0.6279, 0.5000)
Zn (0.1447, 0.8000, 0.5000)
Zn (0.6862, 0.9721, 0.5000)

## Properties
- M_tot (μB/cell) = 0.0
- SG = No. 38
- energy relative to the elements (eV/atom) = -0.07



[3]
Ho2ErZn3Au3 after structural relaxation, computed with PBE-GGA.

Cell lengths 3.9329, 7.3788, 7.3788 Å; angles 119.92, 90.00, 90.00 degrees
Positions (direct):
Au (0.0000, 0.0008, 0.0008)
Au (0.5000, 0.6656, 0.3336)
Au (0.5000, 0.3336, 0.6656)
Er (0.0000, 0.4075, 0.4075)
Ho (0.0000, 0.5921, 0.0000)
Ho (0.0000, 0.0000, 0.5921)
Zn (0.5000, 0.2519, 0.0000)
Zn (0.5000, 0.0000, 0.2519)
Zn (0.5000, 0.7483, 0.7483)

## Properties
- M_tot (μB/cell) = 0.0
- SG = No. 38
- energy relative to the elements (eV/atom) = -0.69